Record 1
{"formula": "BeMoO2", "functional": "PBE+U", "state": "relaxed", "total_energy_ev_per_cell": -53.28, "cell": [[-2.403, 2.403, 3.778], [2.403, -2.403, 3.778], [2.403, 2.403, -3.778]], "species": ["Be", "Be", "Mo", "Mo", "O", "O", "O", "O"], "frac_coords": [[0.000, 0.000, 0.000], [0.750, 0.250, 0.500], [0.250, 0.750, 0.500], [0.500, 0.500, 0.000], [0.023, 0.625, 0.898], [0.375, 0.273, 0.398], [0.727, 0.125, 0.102], [0.875, 0.977, 0.602]]}

Record 2
{"formula": "Be2MoO", "functional": "PBE+U", "state": "relaxed", "total_energy_ev_per_cell": -40.01, "cell": [[-2.504, 2.504, 3.470], [2.504, -2.504, 3.470], [2.504, 2.504, -3.470]], "species": ["Be", "Be", "Be", "Be", "Mo", "Mo", "O", "O"], "frac_coords": [[0.375, 0.235, 0.360], [0.765, 0.125, 0.140], [0.875, 0.015, 0.640], [0.985, 0.625, 0.860], [0.250, 0.750, 0.500], [0.500, 0.500, 0.000], [0.000, 0.000, 0.000], [0.750, 0.250, 0.500]]}

Record 3
{"formula": "Be3MoO", "functional": "PBE+U", "state": "relaxed", "e_above_lowest_polymorph_ev_per_atom": 1.996, "total_energy_ev_per_cell": -13.08, "cell": [[4.417, 0.000, 0.000], [0.000, 4.417, 0.000], [0.000, 0.000, 4.417]], "species": ["Be", "Be", "Be", "Mo", "O"], "frac_coords": [[0.000, 0.000, 0.500], [0.000, 0.500, 0.000], [0.500, 0.000, 0.000], [0.000, 0.000, 0.000], [0.500, 0.500, 0.500]]}

Record 4
{"formula": "BeMoO2", "functional": "PBE+U", "state": "relaxed", "total_energy_ev_per_cell": -25.38, "cell": [[1.391, 0.803, 5.769], [-1.391, 0.803, 5.769], [0.000, -1.606, 5.769]], "species": ["Be", "Mo", "O", "O"], "frac_coords": [[0.000, 0.000, 0.000], [0.500, 0.500, 0.500], [0.388, 0.388, 0.388], [0.612, 0.612, 0.612]]}

Record 5
{"formula": "BeMoO2", "functional": "PBE+U", "state": "relaxed", "total_energy_ev_per_cell": -25.12, "cell": [[1.427, 0.824, 5.850], [-1.427, 0.824, 5.850], [0.000, -1.648, 5.850]], "species": ["Be", "Mo", "O", "O"], "frac_coords": [[0.000, 0.000, 0.000], [0.500, 0.500, 0.500], [0.082, 0.082, 0.082], [0.918, 0.918, 0.918]]}

Record 6
{"formula": "BeMoP2O", "functional": "PBE+U", "state": "relaxed", "e_above_lowest_polymorph_ev_per_atom": 0.399, "total_energy_ev_per_cell": -24.37, "cell": [[4.818, 0.000, 0.000], [0.000, 4.818, 0.000], [0.000, 0.000, 3.758]], "species": ["Be", "Mo", "P", "P", "O"], "frac_coords": [[0.000, 0.000, 0.000], [0.500, 0.500, 0.500], [0.000, 0.500, 0.500], [0.500, 0.000, 0.500], [0.500, 0.500, 0.000]]}

Record 7
{"formula": "BeMoP2O", "functional": "PBE+U", "state": "relaxed", "e_above_lowest_polymorph_ev_per_atom": 0.000, "total_energy_ev_per_cell": -26.37, "cell": [[4.885, 0.000, 0.000], [0.000, 4.885, 0.000], [0.000, 0.000, 2.958]], "species": ["Be", "Mo", "P", "P", "O"], "frac_coords": [[0.000, 0.000, 0.000], [0.500, 0.500, 0.500], [0.000, 0.500, 0.000], [0.500, 0.000, 0.000], [0.000, 0.000, 0.500]]}

Record 8
{"formula": "BeMoPb2O6", "functional": "PBE+U", "state": "relaxed", "total_energy_ev_per_cell": -63.86, "cell": [[5.549, 0.000, 0.000], [-2.760, 4.816, 0.000], [-0.076, -3.167, 5.314]], "species": ["Be", "Mo", "Pb", "Pb", "O", "O", "O", "O", "O", "O"], "frac_coords": [[0.000, 0.000, 0.000], [0.433, 0.862, 0.296], [0.224, 0.454, 0.678], [0.700, 0.399, 0.099], [0.158, 0.801, 0.456], [0.170, 0.844, 0.015], [0.171, 0.340, 0.015], [0.653, 0.298, 0.457], [0.654, 0.801, 0.454], [0.675, 0.845, 0.015]]}

Record 9
{"formula": "Rb2BeMoO4", "functional": "PBE+U", "state": "relaxed", "total_energy_ev_per_cell": -91.78, "cell": [[0.000, 6.003, 10.733], [2.496, 0.000, 10.733], [2.496, 6.003, 0.000]], "species": ["Rb", "Rb", "Rb", "Rb", "Be", "Be", "Mo", "Mo", "O", "O", "O", "O", "O", "O", "O", "O"], "frac_coords": [[0.051, 0.051, 0.699], [0.301, 0.301, 0.949], [0.699, 0.699, 0.051], [0.949, 0.949, 0.301], [0.375, 0.375, 0.375], [0.625, 0.625, 0.625], [0.125, 0.125, 0.125], [0.875, 0.875, 0.875], [0.040, 0.627, 0.549], [0.284, 0.549, 0.627], [0.373, 0.960, 0.716], [0.451, 0.716, 0.960], [0.549, 0.284, 0.040], [0.627, 0.040, 0.284], [0.716, 0.451, 0.373], [0.960, 0.373, 0.451]]}

Record 10
{"formula": "RbBeMoO4", "functional": "PBE+U", "state": "relaxed", "total_energy_ev_per_cell": -89.81, "cell": [[5.032, 0.000, 0.000], [0.000, 5.547, 0.000], [-0.998, 0.000, 6.990]], "species": ["Rb", "Rb", "Be", "Be", "Mo", "Mo", "O", "O", "O", "O", "O", "O", "O", "O"], "frac_coords": [[0.227, 0.250, 0.068], [0.773, 0.750, 0.932], [0.364, 0.250, 0.641], [0.636, 0.750, 0.359], [0.176, 0.750, 0.471], [0.824, 0.250, 0.529], [0.140, 0.025, 0.657], [0.140, 0.475, 0.657], [0.340, 0.750, 0.235], [0.448, 0.250, 0.432], [0.552, 0.750, 0.568], [0.660, 0.250, 0.765], [0.860, 0.525, 0.343], [0.860, 0.975, 0.343]]}

Record 11
{"formula": "Be2MoSeO", "functional": "PBE+U", "state": "relaxed", "total_energy_ev_per_cell": -20.49, "cell": [[4.711, 0.000, 0.000], [0.000, 4.711, 0.000], [0.000, 0.000, 3.779]], "species": ["Be", "Be", "Mo", "Se", "O"], "frac_coords": [[0.000, 0.500, 0.000], [0.500, 0.000, 0.000], [0.000, 0.000, 0.000], [0.500, 0.500, 0.500], [0.000, 0.000, 0.500]]}

Record 12
{"formula": "Be3Si3Mo2O12", "functional": "PBE+U", "state": "relaxed", "total_energy_ev_per_cell": -594.96, "cell": [[8.148, 0.000, 0.000], [0.000, 7.782, 0.000], [-8.135, 0.000, 14.079]], "species": ["Be", "Be", "Be", "Be", "Be", "Be", "Be", "Be", "Be", "Be", "Be", "Be", "Si", "Si", "Si", "Si", "Si", "Si", "Si", "Si", "Si", "Si", "Si", "Si", "Mo", "Mo", "Mo", "Mo", "Mo", "Mo", "Mo", "Mo", "O", "O", "O", "O", "O", "O", "O", "O", "O", "O", "O", "O", "O", "O", "O", "O", "O", "O", "O", "O", "O", "O", "O", "O", "O", "O", "O", "O", "O", "O", "O", "O", "O", "O", "O", "O", "O", "O", "O", "O", "O", "O", "O", "O", "O", "O", "O", "O"], "frac_coords": [[0.024, 0.145, 0.412], [0.024, 0.355, 0.912], [0.307, 0.143, 0.238], [0.307, 0.357, 0.738], [0.322, 0.649, 0.401], [0.322, 0.851, 0.901], [0.678, 0.149, 0.099], [0.678, 0.351, 0.599], [0.693, 0.643, 0.262], [0.693, 0.857, 0.762], [0.976, 0.645, 0.088], [0.976, 0.855, 0.588], [0.028, 0.730, 0.916], [0.028, 0.770, 0.416], [0.302, 0.736, 0.735], [0.302, 0.764, 0.235], [0.334, 0.233, 0.901], [0.334, 0.267, 0.401], [0.666, 0.733, 0.599], [0.666, 0.767, 0.099], [0.698, 0.236, 0.765], [0.698, 0.264, 0.265], [0.972, 0.230, 0.584], [0.972, 0.270, 0.084], [0.327, 0.054, 0.076], [0.327, 0.446, 0.576], [0.337, 0.049, 0.589], [0.337, 0.451, 0.089], [0.663, 0.549, 0.911], [0.663, 0.951, 0.411], [0.673, 0.554, 0.424], [0.673, 0.946, 0.924], [0.099, 0.246, 0.527], [0.099, 0.254, 0.027], [0.116, 0.245, 0.868], [0.116, 0.255, 0.368], [0.127, 0.246, 0.693], [0.127, 0.254, 0.193], [0.132, 0.541, 0.952], [0.132, 0.959, 0.452], [0.206, 0.630, 0.459], [0.206, 0.870, 0.959], [0.208, 0.624, 0.146], [0.208, 0.876, 0.646], [0.235, 0.741, 0.811], [0.235, 0.759, 0.311], [0.280, 0.546, 0.685], [0.280, 0.954, 0.185], [0.402, 0.039, 0.889], [0.402, 0.461, 0.389], [0.424, 0.130, 0.355], [0.424, 0.370, 0.855], [0.447, 0.244, 0.522], [0.447, 0.256, 0.022], [0.457, 0.236, 0.199], [0.457, 0.264, 0.699], [0.543, 0.736, 0.301], [0.543, 0.764, 0.801], [0.553, 0.744, 0.978], [0.553, 0.756, 0.478], [0.576, 0.630, 0.145], [0.576, 0.870, 0.645], [0.598, 0.539, 0.611], [0.598, 0.961, 0.111], [0.720, 0.046, 0.815], [0.720, 0.454, 0.315], [0.765, 0.241, 0.689], [0.765, 0.259, 0.189], [0.792, 0.124, 0.354], [0.792, 0.376, 0.854], [0.794, 0.130, 0.041], [0.794, 0.370, 0.541], [0.868, 0.041, 0.548], [0.868, 0.459, 0.048], [0.873, 0.746, 0.807], [0.873, 0.754, 0.307], [0.884, 0.745, 0.632], [0.884, 0.755, 0.132], [0.901, 0.746, 0.973], [0.901, 0.754, 0.473]]}